[1]
# KMgGa2Sn

A relaxed KMgGa2Sn crystal (PBE, Alexandria).

```
5
Lattice="-2.233 3.042 2.744 2.709 -1.227 3.564 3.704 3.362 -4.680" Properties=species:S:1:pos:R:3 pbc="T T T"
Ga 0.485 0.525 -0.188
Ga 0.330 3.087 0.812
Mg 2.843 1.000 1.206
K 3.518 3.811 -1.362
Sn 2.855 3.743 2.141
```

Its crystal system is orthorhombic. The space group is Imm2. As for the formation energy: -0.79 eV per formula unit. The mass density is 4.104 g/cm³.

***

[2]
# K2MgGaTe4

A relaxed K2MgGaTe4 crystal (PBE, Alexandria).

```
8
Lattice="-0.077 -5.179 5.430 -2.172 -6.630 -1.169 5.565 -4.173 1.285" Properties=species:S:1:pos:R:3 pbc="T T T"
K 1.658 -7.991 2.773
K 1.697 -5.401 0.058
Te -0.739 -2.740 0.138
Te -1.474 -6.648 1.586
Te 3.621 -7.439 5.751
Te 1.831 -4.333 3.502
Mg 0.000 0.000 0.000
Ga -0.039 -2.589 2.715
```

Its crystal system is tetragonal. The space group is I-42m. The value obtained for the uncorrected formation energy is -0.70 eV/atom. The mass density is 4.201 g/cm³.

***

[3]
# K2MgTiGa

A relaxed K2MgTiGa crystal (PBE, Alexandria).

```
5
Lattice="6.419 0.000 0.000 0.000 5.566 0.000 0.000 0.000 6.419" Properties=species:S:1:pos:R:3 pbc="T T T"
K 3.210 0.000 0.000
K 0.000 0.000 3.210
Ti 0.000 0.000 0.000
Mg 0.000 2.783 0.000
Ga 3.210 2.783 3.210
```

Its crystal system is tetragonal. The space group is P4/mmm. As for the formation energy: 5.36 eV per formula unit. The mass density is 1.593 g/cm³.

***

[4]
# KMgTlGa

A relaxed KMgTlGa crystal (PBE, Alexandria).

```
4
Lattice="5.393 0.000 0.000 2.697 4.671 0.000 2.697 1.557 4.404" Properties=species:S:1:pos:R:3 pbc="T T T"
Mg 5.393 3.114 2.202
Ga 2.697 1.557 1.101
Tl 8.090 4.671 3.303
K 0.000 0.000 0.000
```

Its crystal system is cubic. The space group is F-43m. As for the formation energy: 0.32 eV per formula unit. The mass density is 5.052 g/cm³.

***

[5]
# KMn3Ga

A relaxed KMn3Ga crystal (PBE, Alexandria).

```
5
Lattice="-3.591 -3.473 0.305 3.355 -3.562 -1.050 0.946 -0.548 4.884" Properties=species:S:1:pos:R:3 pbc="T T T"
Mn 1.678 -1.781 -0.525
Mn -1.796 -1.736 0.153
Mn 0.473 -0.274 2.442
Ga 0.355 -3.792 2.070
K 0.000 0.000 0.000
```

Its crystal system is cubic. The space group is Pm-3m. As for the formation energy: 10.47 eV per formula unit. The mass density is 3.624 g/cm³.

***

[6]
# K2MnGaMo

A relaxed K2MnGaMo crystal (PBE, Alexandria).

```
5
Lattice="-5.282 3.897 -1.574 -2.107 -3.441 -1.447 -2.580 -1.010 6.156" Properties=species:S:1:pos:R:3 pbc="T T T"
K -1.290 -0.505 3.078
K -2.641 1.949 -0.787
Mn 0.000 0.000 0.000
Ga -4.985 -0.277 1.567
Mo -1.054 -1.720 -0.724
```

Its crystal system is tetragonal. The space group is P4/mmm. As for the formation energy: 7.07 eV per formula unit. The mass density is 2.540 g/cm³.

***

[7]
# KNa2MnGa

A relaxed KNa2MnGa crystal (PBE, Alexandria).

```
5
Lattice="-1.317 4.222 3.974 -4.521 0.378 -1.900 -1.936 -4.162 3.779" Properties=species:S:1:pos:R:3 pbc="T T T"
Ga -2.260 0.189 -0.950
Na -0.968 -2.081 1.890
Na -0.659 2.111 1.987
Mn 0.000 0.000 0.000
K -3.887 0.219 2.927
```

Its crystal system is tetragonal. The space group is P4/mmm. As for the formation energy: 1.79 eV per formula unit. The mass density is 2.003 g/cm³.

***

Question: Look up the mass density of the third one.
Answer: 1.593 g/cm³

***

Question: Which of these has the highest mass density?
Answer: KMgTlGa